Here is a relaxed structure of BaLa2PdPt2Pb3 from OQMD. Energies are from GGA-PBE.

Density ... 10.7 g/cm3
Final energy ... -47.2 eV per cell

abc: 4.206 8.107 8.107
angles: 120.47 90.00 90.00
Fractional positions:
Ba (0.000, 0.000, 0.000)
La (0.000, 0.415, 0.832)
La (0.000, 0.832, 0.415)
Pd (0.000, 0.427, 0.427)
Pt (0.500, 0.089, 0.728)
Pt (0.500, 0.728, 0.089)
Pb (0.500, 0.168, 0.415)
Pb (0.500, 0.415, 0.168)
Pb (0.500, 0.665, 0.665)

Here is a relaxed structure of BaLaPd from OQMD. Energies are from GGA-PBE.

Density ... 6.1 g/cm3
Distance to the lowest polymorph of the same formula ... 0.0 meV/atom

abc: 5.281 5.281 5.281
angles: 60.00 60.00 60.00
Fractional positions:
Ba (0.000, 0.000, 0.000)
La (0.500, 0.500, 0.500)
Pd (0.250, 0.250, 0.250)

Here is a relaxed structure of BaLaPd2 from OQMD. Energies are from GGA-PBE.

Density ... 7.3 g/cm3
Final energy ... -19.7 eV per cell

abc: 4.693 6.165 6.165
angles: 38.60 90.00 90.00
Fractional positions:
Ba (0.000, 0.000, 0.000)
La (0.500, 0.732, 0.732)
Pd (0.000, 0.271, 0.271)
Pd (0.500, 0.426, 0.426)

Here is a relaxed structure of BaLaSn2Pd4 from OQMD. Energies are from GGA-PBE.

Density ... 8.1 g/cm3
Final energy ... -41.7 eV per cell

abc: 4.660 4.660 10.282
angles: 90.00 90.00 120.00
Fractional positions:
Ba (0.000, 0.000, 0.000)
La (0.333, 0.667, 0.500)
Sn (0.667, 0.333, 0.267)
Sn (0.667, 0.333, 0.733)
Pd (0.000, 0.000, 0.330)
Pd (0.000, 0.000, 0.670)
Pd (0.333, 0.667, 0.212)
Pd (0.333, 0.667, 0.788)

Here is a relaxed structure of BaLaPr from OQMD. Energies are from GGA-PBE.

Density ... 4.7 g/cm3
Distance to the lowest polymorph of the same formula ... 0.0 meV/atom

abc: 5.944 5.944 5.944
angles: 60.00 60.00 60.00
Fractional positions:
Ba (0.000, 0.000, 0.000)
La (0.500, 0.500, 0.500)
Pr (0.250, 0.250, 0.250)

Here is a relaxed structure of BaLaPt from OQMD. Energies are from GGA-PBE.

Density ... 7.7 g/cm3
Distance to the lowest polymorph of the same formula ... 0.0 meV/atom

abc: 5.241 5.241 5.241
angles: 60.00 60.00 60.00
Fractional positions:
Ba (0.000, 0.000, 0.000)
La (0.500, 0.500, 0.500)
Pt (0.250, 0.250, 0.250)